Compound: LiAg5Au4
Source: Alexandria via LeMat-Bulk
Functional: PBE
Structure: optimized geometry

extended XYZ file:
```
10
Lattice="-3.025 2.323 3.348 -5.559 -0.851 -1.808 1.487 -5.578 2.799" Properties=species:S:1:pos:R:3 pbc="T T T"
Ag -4.875 -2.893 4.161
Ag -5.976 -1.276 1.998
Ag -1.120 -2.829 2.340
Ag -4.292 0.736 0.770
Ag -2.221 -1.212 0.177
Li -1.512 1.161 1.674
Au -3.168 -0.853 2.905
Au -5.015 -1.638 -0.755
Au -3.929 -3.252 1.433
Au -2.081 -2.468 5.094
```

As for the space-group type: P-1 (2). The calculation puts the distance to the lowest polymorph of the same formula at 0.000 eV/atom. For the volume, the calculation gives 175.63 Å³ per cell. The total energy is -3.06 eV/atom. The calculation puts the formation energy from the elements at -1.30 eV per formula unit. Its total magnetic moment is 0.00 Bohr magnetons per cell. The density of states at the Fermi level comes out at 2.97 states/eV/f.u.

Compound: LiAg2Au
Source: Alexandria via LeMat-Bulk
Functional: PBE
Structure: optimized geometry

extended XYZ file:
```
4
Lattice="5.029 -0.021 -0.025 4.176 2.801 -0.025 0.739 0.223 4.847" Properties=species:S:1:pos:R:3 pbc="T T T"
Ag 5.001 1.510 2.411
Ag 9.915 2.994 4.785
Li 7.458 2.252 3.598
Au 2.486 0.751 1.199
```

As for the space-group type: C2/m (12). For the volume, the calculation gives 68.77 Å³ per cell. The total energy is -2.93 eV/atom. The calculation puts the formation energy from the elements at -0.83 eV per formula unit. Its total magnetic moment is 0.00 Bohr magnetons per cell. The density of states at the Fermi level comes out at 1.03 states/eV/f.u.

Compound: Li8Ag6Au
Source: Alexandria via LeMat-Bulk
Functional: PBE
Structure: optimized geometry

extended XYZ file:
```
15
Lattice="7.852 0.000 0.000 3.926 6.800 0.000 3.926 2.267 5.368" Properties=species:S:1:pos:R:3 pbc="T T T"
Li 6.086 6.742 1.923
Li 10.648 4.958 1.923
Li 3.926 2.267 0.739
Li 8.882 7.167 3.445
Li 6.822 1.900 1.923
Li 11.778 6.800 4.629
Li 5.056 4.109 3.445
Li 9.618 2.324 3.445
Au 0.000 0.000 0.000
Ag 9.030 6.688 0.721
Ag 10.307 4.590 4.647
Ag 6.674 2.379 4.647
Ag 6.575 6.631 4.647
Ag 5.397 4.476 0.721
Ag 9.129 2.436 0.721
```

As for the space-group type: R-3 (148). For the volume, the calculation gives 286.61 Å³ per cell. The total energy is -2.50 eV/atom. The calculation puts the formation energy from the elements at -1.77 eV per formula unit. Its total magnetic moment is 0.00 Bohr magnetons per cell. The density of states at the Fermi level comes out at 4.70 states/eV/f.u.

Compound: Li6AgAu12
Source: Alexandria via LeMat-Bulk
Functional: PBE
Structure: optimized geometry

extended XYZ file:
```
19
Lattice="6.858 -0.111 0.198 0.189 6.856 0.198 -0.116 -0.111 6.860" Properties=species:S:1:pos:R:3 pbc="T T T"
Li 0.776 1.789 5.037
Li 1.983 5.938 5.206
Li 6.156 4.846 2.219
Li 4.948 0.697 2.050
Li 4.926 1.722 6.251
Li 2.006 4.913 1.005
Au 5.889 6.525 4.674
Au 4.359 5.598 6.982
Au 0.221 2.525 1.159
Au 3.216 1.214 4.048
Au 2.572 1.036 0.273
Au 3.982 3.160 1.537
Au 2.949 3.474 5.719
Au 3.715 5.421 3.208
Au 1.042 0.110 2.582
Au 5.549 2.795 3.858
Au 1.383 3.840 3.398
Au 6.711 4.110 6.097
Ag 0.000 0.000 0.000
```

As for the space-group type: R-3 (148). The calculation puts the distance to the lowest polymorph of the same formula at 0.014 eV/atom. For the volume, the calculation gives 323.01 Å³ per cell. The total energy is -3.14 eV/atom. The calculation puts the formation energy from the elements at -5.96 eV per formula unit. Its total magnetic moment is 0.00 Bohr magnetons per cell. The density of states at the Fermi level comes out at 6.43 states/eV/f.u.